[1]
A plane-wave DFT calculation with meta-GGA SCAN was carried out for a PBEsol-optimized structure of La2HgPt.

Geometry as POSCAR:
```
La2HgPt
1.0
4.130 0.000 0.000
-2.065 3.576 0.000
0.000 0.000 23.675
La Hg Pt
6 3 3
Direct
0.000 0.000 0.237
0.000 0.000 0.763
0.333 0.667 0.429
0.333 0.667 0.904
0.667 0.333 0.096
0.667 0.333 0.571
0.000 0.000 0.000
0.333 0.667 0.667
0.667 0.333 0.333
0.000 0.000 0.500
0.333 0.667 0.167
0.667 0.333 0.833
```

ΔH_f (0 K): -1.0116 eV/atom
Space-group type: No. 166

---

[2]
A plane-wave DFT calculation with meta-GGA SCAN was carried out for a PBEsol-optimized structure of La4HgPt.

Geometry as POSCAR:
```
La4HgPt
1.0
0.000 4.343 4.343
4.343 0.000 4.343
4.343 4.343 0.000
La Hg Pt
4 1 1
Direct
0.376 0.376 0.376
0.376 0.376 0.873
0.376 0.873 0.376
0.873 0.376 0.376
0.000 0.000 0.000
0.750 0.750 0.750
```

ΔH_f (0 K): 0.1969 eV/atom
Space-group type: No. 216

---

[3]
A plane-wave DFT calculation with meta-GGA SCAN was carried out for a PBEsol-optimized structure of RbLa2ReHg.

Geometry as POSCAR:
```
RbLa2ReHg
1.0
5.505 0.000 0.000
0.000 5.505 0.000
0.000 0.000 5.236
Rb La Re Hg
1 2 1 1
Direct
0.000 0.000 0.000
0.000 0.500 0.000
0.500 0.000 0.000
0.500 0.500 0.500
0.000 0.000 0.500
```

ΔH_f (0 K): 2.0007 eV/atom
Space-group type: No. 123

---

[4]
A plane-wave DFT calculation with meta-GGA SCAN was carried out for a PBEsol-optimized structure of RbSrLaHg2.

Geometry as POSCAR:
```
RbSrLaHg2
1.0
5.804 0.000 0.000
0.000 5.804 0.000
0.000 0.000 5.657
Rb Sr La Hg
1 1 1 2
Direct
0.000 0.000 0.000
0.500 0.500 0.500
0.000 0.000 0.500
0.000 0.500 0.000
0.500 0.000 0.000
```

ΔH_f (0 K): 0.5052 eV/atom
Space-group type: No. 123

---

[5]
A plane-wave DFT calculation with meta-GGA SCAN was carried out for a PBEsol-optimized structure of La2ReHg.

Geometry as POSCAR:
```
La2ReHg
1.0
3.651 0.000 0.000
0.000 3.651 0.000
0.000 0.000 6.837
La Re Hg
2 1 1
Direct
0.000 0.000 0.000
0.500 0.500 0.295
0.000 0.000 0.535
0.500 0.500 0.738
```

ΔH_f (0 K): 0.3300 eV/atom
E above lowest polymorph: 4.5 kJ/mol of atoms
Space-group type: No. 99

---

[6]
A plane-wave DFT calculation with meta-GGA SCAN was carried out for a PBEsol-optimized structure of La2ReHg.

Geometry as POSCAR:
```
La2ReHg
1.0
7.083 0.000 0.000
0.000 7.083 0.000
0.000 0.000 7.083
La Re Hg
8 4 4
Direct
0.000 0.000 0.000
0.000 0.500 0.500
0.250 0.250 0.250
0.250 0.750 0.750
0.500 0.000 0.500
0.500 0.500 0.000
0.750 0.250 0.750
0.750 0.750 0.250
0.250 0.250 0.750
0.250 0.750 0.250
0.750 0.250 0.250
0.750 0.750 0.750
0.000 0.000 0.500
0.000 0.500 0.000
0.500 0.000 0.000
0.500 0.500 0.500
```

ΔH_f (0 K): 0.2833 eV/atom
E above lowest polymorph: 0.0 kJ/mol of atoms
Space-group type: No. 216

---

[7]
A plane-wave DFT calculation with meta-GGA SCAN was carried out for a PBEsol-optimized structure of LaReHg3.

Geometry as POSCAR:
```
LaReHg3
1.0
5.119 0.000 0.000
0.000 5.119 0.000
0.000 0.000 5.119
La Re Hg
1 1 3
Direct
0.000 0.000 0.000
0.500 0.500 0.500
0.000 0.500 0.500
0.500 0.000 0.500
0.500 0.500 0.000
```

ΔH_f (0 K): 0.2708 eV/atom
Space-group type: No. 221

---

[8]
A plane-wave DFT calculation with meta-GGA SCAN was carried out for a PBEsol-optimized structure of LaRe3Hg.

Geometry as POSCAR:
```
LaRe3Hg
1.0
4.800 0.000 0.000
0.000 4.800 0.000
0.000 0.000 4.800
La Re Hg
1 3 1
Direct
0.000 0.000 0.000
0.000 0.000 0.500
0.000 0.500 0.000
0.500 0.000 0.000
0.500 0.500 0.500
```

ΔH_f (0 K): 3.1665 eV/atom
Space-group type: No. 221

---

[9]
A plane-wave DFT calculation with meta-GGA SCAN was carried out for a PBEsol-optimized structure of LaHgRh2.

Geometry as POSCAR:
```
LaHgRh2
1.0
4.433 0.000 0.000
0.000 4.433 0.000
0.000 0.000 3.753
La Hg Rh
1 1 2
Direct
0.000 0.000 0.000
0.500 0.500 0.000
0.000 0.500 0.500
0.500 0.000 0.500
```

ΔH_f (0 K): -0.4990 eV/atom
Space-group type: No. 123

---

[10]
A plane-wave DFT calculation with meta-GGA SCAN was carried out for a PBEsol-optimized structure of LaHg2Rh.

Geometry as POSCAR:
```
LaHg2Rh
1.0
3.915 0.000 0.000
0.000 4.046 0.000
0.000 0.000 11.488
La Hg Rh
2 4 2
Direct
0.000 0.000 0.000
0.000 0.500 0.500
0.000 0.000 0.279
0.000 0.500 0.779
0.500 0.000 0.693
0.500 0.500 0.193
0.500 0.000 0.454
0.500 0.500 0.954
```

ΔH_f (0 K): -0.4977 eV/atom
Space-group type: No. 38

---

[11]
A plane-wave DFT calculation with meta-GGA SCAN was carried out for a PBEsol-optimized structure of LaHgRh.

Geometry as POSCAR:
```
LaHgRh
1.0
6.660 0.000 0.000
0.000 6.660 0.000
0.000 0.000 6.660
La Hg Rh
4 4 4
Direct
0.000 0.000 0.000
0.000 0.500 0.500
0.500 0.000 0.500
0.500 0.500 0.000
0.000 0.000 0.500
0.000 0.500 0.000
0.500 0.000 0.000
0.500 0.500 0.500
0.250 0.250 0.750
0.250 0.750 0.250
0.750 0.250 0.250
0.750 0.750 0.750
```

ΔH_f (0 K): -0.6268 eV/atom
Space-group type: No. 216

---

[12]
A plane-wave DFT calculation with meta-GGA SCAN was carried out for a PBEsol-optimized structure of LaHg2Rh.

Geometry as POSCAR:
```
LaHg2Rh
1.0
4.086 0.000 0.000
0.000 4.086 0.000
0.000 0.000 5.249
La Hg Rh
1 2 1
Direct
0.000 0.000 0.000
0.000 0.500 0.500
0.500 0.000 0.500
0.500 0.500 0.000
```

ΔH_f (0 K): -0.3650 eV/atom
Space-group type: No. 123

---

[13]
A plane-wave DFT calculation with meta-GGA SCAN was carried out for a PBEsol-optimized structure of LaSn2HgRh.

Geometry as POSCAR:
```
LaSn2HgRh
1.0
6.024 0.000 0.000
0.000 6.024 0.000
0.000 0.000 4.718
La Sn Hg Rh
1 2 1 1
Direct
0.000 0.000 0.000
0.000 0.500 0.000
0.500 0.000 0.000
0.500 0.500 0.500
0.000 0.000 0.500
```

ΔH_f (0 K): 0.7847 eV/atom
Space-group type: No. 123

---

[14]
A plane-wave DFT calculation with meta-GGA SCAN was carried out for a PBEsol-optimized structure of LaHg2Ru.

Geometry as POSCAR:
```
LaHg2Ru
1.0
4.115 0.000 0.000
0.000 4.127 0.000
0.000 0.000 4.991
La Hg Ru
1 2 1
Direct
0.000 0.000 0.000
0.000 0.500 0.500
0.500 0.000 0.500
0.500 0.500 0.000
```

ΔH_f (0 K): -0.0276 eV/atom
Space-group type: No. 47

---

[15]
A plane-wave DFT calculation with meta-GGA SCAN was carried out for a PBEsol-optimized structure of LaHgRu2.

Geometry as POSCAR:
```
LaHgRu2
1.0
10.604 0.000 0.000
0.000 3.070 0.000
-1.776 0.000 4.564
La Hg Ru
2 2 4
Direct
0.000 0.000 0.000
0.500 0.500 0.000
0.281 0.500 0.369
0.781 0.000 0.369
0.033 0.500 0.512
0.231 0.000 0.838
0.533 0.000 0.512
0.731 0.500 0.838
```

ΔH_f (0 K): 0.1889 eV/atom
Space-group type: No. 8

---

[16]
A plane-wave DFT calculation with meta-GGA SCAN was carried out for a PBEsol-optimized structure of La4HgRu.

Geometry as POSCAR:
```
La4HgRu
1.0
0.000 4.314 4.314
4.314 0.000 4.314
4.314 4.314 0.000
La Hg Ru
4 1 1
Direct
0.124 0.124 0.124
0.124 0.124 0.628
0.124 0.628 0.124
0.628 0.124 0.124
0.500 0.500 0.500
0.750 0.750 0.750
```

ΔH_f (0 K): 0.6230 eV/atom
Space-group type: No. 216

---

[17]
A plane-wave DFT calculation with meta-GGA SCAN was carried out for a PBEsol-optimized structure of LaHg2Ru.

Geometry as POSCAR:
```
LaHg2Ru
1.0
5.654 0.000 0.000
0.000 5.838 0.000
0.000 0.000 10.816
La Hg Ru
4 8 4
Direct
0.000 0.000 0.000
0.000 0.500 0.500
0.500 0.000 0.500
0.500 0.500 0.000
0.000 0.250 0.250
0.000 0.250 0.750
0.000 0.750 0.250
0.000 0.750 0.750
0.500 0.250 0.250
0.500 0.250 0.750
0.500 0.750 0.250
0.500 0.750 0.750
0.000 0.000 0.500
0.000 0.500 0.000
0.500 0.000 0.000
0.500 0.500 0.500
```

ΔH_f (0 K): 0.0691 eV/atom
Space-group type: No. 69

---

[18]
A plane-wave DFT calculation with meta-GGA SCAN was carried out for a PBEsol-optimized structure of LaHg2Ru.

Geometry as POSCAR:
```
LaHg2Ru
1.0
3.841 0.000 0.000
0.000 4.050 0.000
0.000 0.000 11.502
La Hg Ru
2 4 2
Direct
0.000 0.000 0.000
0.000 0.500 0.500
0.000 0.000 0.282
0.000 0.500 0.782
0.500 0.000 0.692
0.500 0.500 0.192
0.500 0.000 0.454
0.500 0.500 0.954
```

ΔH_f (0 K): -0.1570 eV/atom
Space-group type: No. 38

---

[19]
A plane-wave DFT calculation with meta-GGA SCAN was carried out for a PBEsol-optimized structure of La3HgRu.

Geometry as POSCAR:
```
La3HgRu
1.0
7.570 0.000 0.000
-3.785 6.556 0.000
0.000 0.000 5.728
La Hg Ru
6 2 2
Direct
0.107 0.355 0.250
0.248 0.893 0.250
0.355 0.248 0.750
0.645 0.752 0.250
0.752 0.107 0.750
0.893 0.645 0.750
0.333 0.667 0.750
0.667 0.333 0.250
0.000 0.000 0.000
0.000 0.000 0.500
```

ΔH_f (0 K): -0.5060 eV/atom
Space-group type: No. 176

---

[20]
A plane-wave DFT calculation with meta-GGA SCAN was carried out for a PBEsol-optimized structure of LaHgS2.

Geometry as POSCAR:
```
LaHgS2
1.0
4.211 0.000 0.000
-2.105 3.647 0.000
0.000 0.000 24.176
La Hg S
3 3 6
Direct
0.000 0.000 0.000
0.333 0.667 0.667
0.667 0.333 0.333
0.000 0.000 0.500
0.333 0.667 0.167
0.667 0.333 0.833
0.000 0.000 0.395
0.000 0.000 0.605
0.333 0.667 0.062
0.333 0.667 0.271
0.667 0.333 0.729
0.667 0.333 0.938
```

Energy relative to the elements, uncorrected: -1.309 eV per atom
Space-group type: No. 166